(1)
This record from the Alexandria database describes a relaxed structure of YHfMg6. The functional is PBE-GGA.

abc: 6.2878 6.2878 4.8339
angles: 90.00 90.00 101.00
Sites, in units of the cell vectors:
Y: 0.5000 0.5000 0.5000
Hf: 0.0000 0.0000 0.5000
Mg: 0.5000 0.0000 0.5000
Mg: 0.0000 0.5000 0.5000
Mg: 0.7595 0.7595 0.0000
Mg: 0.2405 0.2405 0.0000
Mg: 0.7564 0.2436 0.0000
Mg: 0.2436 0.7564 0.0000

Values from the calculation:
For the total energy, the calculation gives -25.71 eV per cell. As for the mass density: 3.66 Mg/m³. The symmetry is Cmmm, No. 65. The magnetic moment is 0.00 μB/f.u.

(2)
This record from the Alexandria database describes a relaxed structure of Y2HfMg. The functional is PBE-GGA.

abc: 4.5256 4.5256 11.4601
angles: 78.61 78.61 90.00
Sites, in units of the cell vectors:
Y: 0.6258 0.1250 0.2500
Y: 0.1242 0.6250 0.2500
Y: 0.3750 0.3742 0.7500
Y: 0.8750 0.8758 0.7500
Mg: 0.5000 0.5000 0.0000
Mg: 0.2500 0.7500 0.5000
Hf: 0.0000 0.0000 0.0000
Hf: 0.7500 0.2500 0.5000

Values from the calculation:
For the total energy, the calculation gives -44.27 eV per cell. As for the mass density: 5.61 Mg/m³. The symmetry is I-42d, No. 122. The magnetic moment is 0.00 μB/f.u.

(3)
This record from the Alexandria database describes a relaxed structure of Y3HfMg. The functional is PBE-GGA.

abc: 5.4749 5.4749 5.4749
angles: 90.00 90.00 90.00
Each line ends with the local moment (μB).
Sites, in units of the cell vectors:
Y: 0.0000 0.5000 0.0000  0.04
Y: 0.0000 0.0000 0.5000  0.08
Y: 0.5000 0.0000 0.0000  0.04
Mg: 0.0000 0.0000 0.0000  -0.01
Hf: 0.5000 0.5000 0.5000  0.41

Values from the calculation:
For the total energy, the calculation gives -26.27 eV per cell. For the relative energy among the computed polymorphs, the calculation gives 27.5 kJ/mol of atoms. As for the mass density: 4.75 Mg/m³. The symmetry is Pm-3m, No. 221. The magnetic moment is 1.17 μB/f.u.

(4)
This record from the Alexandria database describes a relaxed structure of YHf3Mg. The functional is PBE-GGA.

abc: 5.2152 5.2152 5.2152
angles: 90.00 90.00 90.00
Sites, in units of the cell vectors:
Y: 0.0000 0.0000 0.0000
Mg: 0.5000 0.5000 0.5000
Hf: 0.0000 0.5000 0.0000
Hf: 0.0000 0.0000 0.5000
Hf: 0.5000 0.0000 0.0000

Values from the calculation:
For the total energy, the calculation gives -30.42 eV per cell. For the relative energy among the computed polymorphs, the calculation gives 44.3 kJ/mol of atoms. As for the mass density: 7.59 Mg/m³. The symmetry is Pm-3m, No. 221. The magnetic moment is 0.00 μB/f.u.

(5)
This record from the Alexandria database describes a relaxed structure of Y2HfMg. The functional is PBE-GGA.

abc: 3.4178 3.4178 9.3276
angles: 90.00 90.00 90.00
Sites, in units of the cell vectors:
Y: 0.0000 0.0000 0.7431
Y: 0.0000 0.0000 0.2569
Mg: 0.5000 0.5000 0.0000
Hf: 0.5000 0.5000 0.5000

Values from the calculation:
For the total energy, the calculation gives -24.41 eV per cell. As for the mass density: 5.80 Mg/m³. The symmetry is P4/mmm, No. 123. The magnetic moment is 0.00 μB/f.u.

(6)
This record from the Alexandria database describes a relaxed structure of Y2HfMg. The functional is PBE-GGA.

abc: 3.3826 3.3826 11.2713
angles: 81.37 81.37 60.00
Sites, in units of the cell vectors:
Y: 0.0794 0.0794 0.7618
Y: 0.2539 0.2539 0.2383
Hf: 0.6667 0.6667 0.9999
Mg: 0.5000 0.5000 0.5000

Values from the calculation:
For the total energy, the calculation gives -24.07 eV per cell. As for the mass density: 5.75 Mg/m³. The symmetry is R3m, No. 160. The magnetic moment is 0.00 μB/f.u.

(7)
This record from the Alexandria database describes a relaxed structure of YHf2Mg2. The functional is PBE-GGA.

abc: 8.5348 8.5348 3.2907
angles: 90.00 90.00 90.00
Sites, in units of the cell vectors:
Y: 0.0000 0.0000 0.0000
Y: 0.5000 0.5000 0.0000
Mg: 0.3702 0.8702 0.0000
Mg: 0.8702 0.6298 0.0000
Mg: 0.6298 0.1298 0.0000
Mg: 0.1298 0.3702 0.0000
Hf: 0.1671 0.6671 0.5000
Hf: 0.6671 0.8329 0.5000
Hf: 0.8329 0.3329 0.5000
Hf: 0.3329 0.1671 0.5000

Values from the calculation:
For the total energy, the calculation gives -56.46 eV per cell. As for the mass density: 6.85 Mg/m³. The symmetry is P4/mbm, No. 127. The magnetic moment is 0.00 μB/f.u.

(8)
This record from the Alexandria database describes a relaxed structure of YHfMg2. The functional is PBE-GGA.

abc: 3.1342 3.1342 12.0807
angles: 82.55 82.55 60.00
Sites, in units of the cell vectors:
Y: 0.5000 0.5000 0.5000
Mg: 0.0851 0.0851 0.7447
Mg: 0.9149 0.9149 0.2553
Hf: 0.0000 0.0000 0.0000

Values from the calculation:
For the total energy, the calculation gives -18.18 eV per cell. As for the mass density: 5.16 Mg/m³. The symmetry is R-3m, No. 166. The magnetic moment is 0.00 μB/f.u.

(9)
This record from the Alexandria database describes a relaxed structure of YHfMg2. The functional is PBE-GGA.

abc: 8.3362 8.3362 6.5930
angles: 50.79 50.79 90.00
Sites, in units of the cell vectors:
Y: 0.5000 0.5000 0.0000
Y: 0.2500 0.7500 0.5000
Mg: 0.6382 0.1250 0.2500
Mg: 0.1118 0.6250 0.2500
Mg: 0.3750 0.3618 0.7500
Mg: 0.8750 0.8882 0.7500
Hf: 0.0000 0.0000 0.0000
Hf: 0.7500 0.2500 0.5000

Values from the calculation:
For the total energy, the calculation gives -35.12 eV per cell. As for the mass density: 5.11 Mg/m³. The symmetry is I-42d, No. 122. The magnetic moment is 0.00 μB/f.u.

(10)
This record from the Alexandria database describes a relaxed structure of Y2HfMg. The functional is PBE-GGA.

abc: 3.2361 3.2361 12.2831
angles: 82.43 82.43 60.00
Sites, in units of the cell vectors:
Y: 0.0878 0.0878 0.7365
Y: 0.9122 0.9122 0.2635
Mg: 0.5000 0.5000 0.5000
Hf: 0.0000 0.0000 0.0000

Values from the calculation:
For the total energy, the calculation gives -22.90 eV per cell. As for the mass density: 5.74 Mg/m³. The symmetry is R-3m, No. 166. The magnetic moment is 0.01 μB/f.u.

(11)
This record from the Alexandria database describes a relaxed structure of Y2HfMg2. The functional is PBE-GGA.

abc: 8.6594 8.6594 3.5287
angles: 90.00 90.00 90.00
Sites, in units of the cell vectors:
Y: 0.1774 0.6774 0.5000
Y: 0.6774 0.8226 0.5000
Y: 0.8226 0.3226 0.5000
Y: 0.3226 0.1774 0.5000
Mg: 0.3778 0.8778 0.0000
Mg: 0.8778 0.6222 0.0000
Mg: 0.6222 0.1222 0.0000
Mg: 0.1222 0.3778 0.0000
Hf: 0.0000 0.0000 0.0000
Hf: 0.5000 0.5000 0.0000

Values from the calculation:
For the total energy, the calculation gives -49.73 eV per cell. As for the mass density: 5.08 Mg/m³. The symmetry is P4/mbm, No. 127. The magnetic moment is 0.00 μB/f.u.

(12)
This record from the Alexandria database describes a relaxed structure of YHfMg3. The functional is PBE-GGA.

abc: 5.3472 5.3472 5.3472
angles: 90.00 90.00 90.00
Sites, in units of the cell vectors:
Y: 0.5000 0.5000 0.5000
Mg: 0.0000 0.5000 0.0000
Mg: 0.0000 0.0000 0.5000
Mg: 0.5000 0.0000 0.0000
Hf: 0.0000 0.0000 0.0000

Values from the calculation:
For the total energy, the calculation gives -16.56 eV per cell. For the relative energy among the computed polymorphs, the calculation gives 0.0 kJ/mol of atoms. As for the mass density: 3.70 Mg/m³. The symmetry is Pm-3m, No. 221. The magnetic moment is 0.00 μB/f.u.

Repeat the fourth record exactly.
This record from the Alexandria database describes a relaxed structure of YHf3Mg. The functional is PBE-GGA.

abc: 5.2152 5.2152 5.2152
angles: 90.00 90.00 90.00
Sites, in units of the cell vectors:
Y: 0.0000 0.0000 0.0000
Mg: 0.5000 0.5000 0.5000
Hf: 0.0000 0.5000 0.0000
Hf: 0.0000 0.0000 0.5000
Hf: 0.5000 0.0000 0.0000

Values from the calculation:
For the total energy, the calculation gives -30.42 eV per cell. For the relative energy among the computed polymorphs, the calculation gives 44.3 kJ/mol of atoms. As for the mass density: 7.59 Mg/m³. The symmetry is Pm-3m, No. 221. The magnetic moment is 0.00 μB/f.u.